First-principles (GGA-PBE) data for InSn2Au after structural relaxation, as listed in Alexandria via LeMat-Bulk.

formation energy from the elements: 0.02 eV/atom
uncorrected energy: -0.256 Ry/atom
density of states at the Fermi level: 1.777 states/eV/f.u.
crystal system: tetragonal

Cell: 4.7364 4.7364 4.3743 Å, 90.00 90.00 90.00°
With the nearest neighbours (Å) after each atom.
Space group P4/mmm (No. 123)
One atom of each set of equivalent atoms:
In 0.0000 0.0000 0.0000 (multiplicity 1)  8 Sn 3.22, 4 Au 3.35
Sn 0.0000 0.5000 0.5000 (multiplicity 2)  4 In 3.22, 4 Au 3.22, 4 Sn 3.35
Au 0.5000 0.5000 0.0000 (multiplicity 1)  8 Sn 3.22, 4 In 3.35